Sm2ThGa | the Alexandria database | PBE-GGA | optimized geometry; total DFT energy (no corrections) = -5.136 eV/atom; crystal system = trigonal; formation enthalpy at 0 K = -0.16 eV per atom
1.0
3.649 0.000 0.000
1.824 3.160 0.000
1.824 1.053 10.288
Sm Th Ga
2 1 1
Cartesian
5.473 3.160 8.019
1.824 1.053 2.269
3.649 2.107 5.144
0.000 0.000 0.000